Below is a relaxed PuTh2ReC4 crystal, with properties calculated at the GGA-PBE level.

Calculated values
Volume, Å³ per cell: 281.39
ρ, g cm⁻³: 11.1
ΔH_f (0 K), eV per atom: 0.052
Uncorrected energy, eV per cell: -156.2
SG: No. 63

```
PuTh2ReC4
1.0
-3.003 -1.539 1.212
3.980 -4.759 -1.487
4.704 0.209 11.922
C Th Re Pu
8 4 2 2
Direct
0.732 0.464 0.864
0.268 0.536 0.364
0.732 0.464 0.636
0.584 0.169 0.250
0.000 0.000 0.000
0.268 0.536 0.136
0.416 0.831 0.750
0.000 0.000 0.500
0.367 0.733 0.539
0.633 0.267 0.039
0.633 0.267 0.461
0.367 0.733 0.961
0.834 0.667 0.750
0.166 0.333 0.250
0.900 0.801 0.250
0.100 0.199 0.750
```